1.
Li2ReAs | PBEsol | relaxed

The structure in extended XYZ format:
```
4
Lattice="2.588 0.000 0.000 0.000 2.588 0.000 0.000 0.000 8.611" Properties=species:S:1:pos:R:3 pbc="T T T"
Li 0.000 0.000 2.118
Li 0.000 0.000 6.493
Re 1.294 1.294 4.306
As 1.294 1.294 0.000
```

Properties
For the spin magnetization, the calculation gives 0.0 Bohr magnetons per cell. The symmetry is P4/mmm. The total energy comes out at -5.55 eV/atom. The density of states at the Fermi level comes out at 1.5 states/eV per cell. Its formation energy from the elements is 0.05 eV/atom. As for the density: 7.9 g/cm³.


2.
Li2ReAs | PBEsol | relaxed

The structure in extended XYZ format:
```
4
Lattice="4.505 0.000 0.000 0.000 4.505 0.000 0.000 0.000 2.613" Properties=species:S:1:pos:R:3 pbc="T T T"
Li 0.000 2.253 0.000
Li 2.253 0.000 0.000
Re 0.000 0.000 1.307
As 2.253 2.253 1.307
```

Properties
For the spin magnetization, the calculation gives 0.0 Bohr magnetons per cell. The symmetry is P4/mmm. The total energy comes out at -5.21 eV/atom. The density of states at the Fermi level comes out at 1.9 states/eV per cell. Its formation energy from the elements is 0.38 eV/atom. As for the density: 8.6 g/cm³.


3.
Li2ReAs | PBEsol | relaxed

The structure in extended XYZ format:
```
8
Lattice="-3.505 3.505 2.370 3.505 -3.505 2.370 3.505 3.505 -2.370" Properties=species:S:1:pos:R:3 pbc="T T T"
Li 1.752 1.609 -0.592
Li 1.896 -1.752 2.962
Li 1.752 1.896 1.777
Li 1.609 5.257 0.592
Re 3.505 0.000 1.185
Re 0.000 0.000 2.370
As 0.000 0.000 0.000
As 0.000 3.505 1.185
```

Properties
For the spin magnetization, the calculation gives 0.0 Bohr magnetons per cell. The symmetry is I-42d. The total energy comes out at -5.15 eV/atom. The density of states at the Fermi level comes out at 4.0 states/eV per cell. Its formation energy from the elements is 0.44 eV/atom. As for the density: 7.8 g/cm³.


4.
LiReAs | PBEsol | relaxed

The structure in extended XYZ format:
```
3
Lattice="0.000 2.881 2.881 2.881 0.000 2.881 2.881 2.881 0.000" Properties=species:S:1:pos:R:3 pbc="T T T"
Li 0.000 0.000 0.000
Re 4.322 4.322 4.322
As 2.881 2.881 2.881
```

Properties
For the spin magnetization, the calculation gives 0.0 Bohr magnetons per cell. The value obtained for the offset from the most stable computed form is 339 meV/atom. The symmetry is F-43m. The total energy comes out at -6.26 eV/atom. The density of states at the Fermi level comes out at 3.1 states/eV per cell. Its formation energy from the elements is 0.54 eV/atom. As for the density: 9.3 g/cm³.


5.
Li2ReAs | PBEsol | relaxed

The structure in extended XYZ format:
```
4
Lattice="1.550 -2.353 0.000 1.550 2.353 0.000 0.000 0.000 8.845" Properties=species:S:1:pos:R:3 pbc="T T T"
Li 0.000 0.000 0.000
Li 1.550 0.000 2.619
Re 1.550 0.000 6.642
As 0.000 0.000 4.716
```

Properties
For the spin magnetization, the calculation gives 0.0 Bohr magnetons per cell. The symmetry is Cmm2. The total energy comes out at -5.38 eV/atom. The density of states at the Fermi level comes out at 2.7 states/eV per cell. Its formation energy from the elements is 0.22 eV/atom. As for the density: 7.1 g/cm³.


6.
LiReAs | PBEsol | relaxed

The structure in extended XYZ format:
```
3
Lattice="0.000 2.847 2.847 2.847 0.000 2.847 2.847 2.847 0.000" Properties=species:S:1:pos:R:3 pbc="T T T"
Li 0.000 0.000 0.000
Re 2.847 2.847 2.847
As 4.271 4.271 4.271
```

Properties
For the spin magnetization, the calculation gives 0.0 Bohr magnetons per cell. The value obtained for the offset from the most stable computed form is 0 meV/atom. The symmetry is F-43m. The total energy comes out at -6.60 eV/atom. The density of states at the Fermi level comes out at 2.4 states/eV per cell. Its formation energy from the elements is 0.20 eV/atom. As for the density: 9.6 g/cm³.


7.
LiRe3As | PBEsol | relaxed

The structure in extended XYZ format:
```
5
Lattice="4.525 0.000 0.000 0.000 4.525 0.000 0.000 0.000 4.525" Properties=species:S:1:pos:R:3 pbc="T T T"
Li 0.000 0.000 0.000
Re 0.000 2.262 2.262
Re 2.262 0.000 2.262
Re 2.262 2.262 0.000
As 2.262 2.262 2.262
```

Properties
For the spin magnetization, the calculation gives 0.0 Bohr magnetons per cell. The symmetry is Pm-3m. The total energy comes out at -7.69 eV/atom. The density of states at the Fermi level comes out at 3.2 states/eV per cell. Its formation energy from the elements is 1.72 eV/atom. As for the density: 11.5 g/cm³.


8.
LiRe2As | PBEsol | relaxed

The structure in extended XYZ format:
```
4
Lattice="-1.425 2.096 5.003 1.425 -2.096 5.003 1.425 2.096 -5.003" Properties=species:S:1:pos:R:3 pbc="T T T"
Li 0.000 0.000 0.000
Re 1.425 0.000 2.953
Re 0.000 2.096 2.050
As 0.000 0.000 5.003
```

Properties
For the spin magnetization, the calculation gives 0.0 Bohr magnetons per cell. The symmetry is Immm. The total energy comes out at -8.21 eV/atom. The density of states at the Fermi level comes out at 2.1 states/eV per cell. Its formation energy from the elements is 0.23 eV/atom. As for the density: 12.6 g/cm³.


9.
LiRe2As | PBEsol | relaxed

The structure in extended XYZ format:
```
4
Lattice="2.723 -4.484 0.000 2.723 4.484 0.000 -1.324 0.000 2.349" Properties=species:S:1:pos:R:3 pbc="T T T"
Li 0.000 0.000 0.000
Re 0.699 2.242 1.174
Re 0.699 -2.242 1.174
As 2.723 0.000 0.000
```

Properties
For the spin magnetization, the calculation gives 0.0 Bohr magnetons per cell. The symmetry is C2/m. The total energy comes out at -8.02 eV/atom. The density of states at the Fermi level comes out at 3.1 states/eV per cell. Its formation energy from the elements is 0.41 eV/atom. As for the density: 13.2 g/cm³.


10.
LiAs3Rh | PBEsol | relaxed

The structure in extended XYZ format:
```
5
Lattice="4.357 0.000 0.000 0.000 4.357 0.000 0.000 0.000 4.357" Properties=species:S:1:pos:R:3 pbc="T T T"
Li 0.000 0.000 0.000
As 0.000 0.000 2.178
As 0.000 2.178 0.000
As 2.178 0.000 0.000
Rh 2.178 2.178 2.178
```

Properties
For the spin magnetization, the calculation gives 0.0 Bohr magnetons per cell. The symmetry is Pm-3m. The total energy comes out at -4.45 eV/atom. The density of states at the Fermi level comes out at 2.8 states/eV per cell. Its formation energy from the elements is 0.64 eV/atom. As for the density: 6.7 g/cm³.


11.
Li3AsRh | PBEsol | relaxed

The structure in extended XYZ format:
```
5
Lattice="4.500 0.000 0.000 0.000 4.500 0.000 0.000 0.000 4.500" Properties=species:S:1:pos:R:3 pbc="T T T"
Li 0.000 0.000 2.250
Li 0.000 2.250 0.000
Li 2.250 0.000 0.000
As 0.000 0.000 0.000
Rh 2.250 2.250 2.250
```

Properties
For the spin magnetization, the calculation gives 1.1 Bohr magnetons per cell. The symmetry is Pm-3m. The total energy comes out at -3.42 eV/atom. The density of states at the Fermi level comes out at 6.1 states/eV per cell. Its formation energy from the elements is 0.41 eV/atom. As for the density: 3.6 g/cm³.


12.
LiAsRh2 | PBEsol | relaxed

The structure in extended XYZ format:
```
4
Lattice="4.065 0.000 0.000 0.000 4.065 0.000 0.000 0.000 3.074" Properties=species:S:1:pos:R:3 pbc="T T T"
Li 0.000 0.000 0.000
As 2.032 2.032 0.000
Rh 0.000 2.032 1.537
Rh 2.032 0.000 1.537
```

Properties
For the spin magnetization, the calculation gives 0.0 Bohr magnetons per cell. The symmetry is P4/mmm. The total energy comes out at -6.28 eV/atom. The density of states at the Fermi level comes out at 1.8 states/eV per cell. Its formation energy from the elements is -0.45 eV/atom. As for the density: 9.4 g/cm³.